# 1
A plane-wave DFT calculation with SCAN was carried out for BaGd2PtO5 at its PBEsol-relaxed geometry.

abc: 5.8689 6.5874 6.5874
angles: 90.00 90.00 90.00
With the nearest neighbours (Å) after each atom.
Fractional coordinates of all 18 atoms:
O (0.7423, 0.3598, 0.1402)  1 Pt 2.00, 1 Gd 2.24
O (0.2577, 0.1402, 0.6402)  1 Pt 2.00, 1 Gd 2.24
O (0.2577, 0.3598, 0.1402)  1 Pt 2.00, 1 Gd 2.24
O (0.5000, 0.5000, 0.5000)  4 Gd 2.43
O (0.7423, 0.1402, 0.6402)  1 Pt 2.00, 1 Gd 2.24
O (0.5000, 0.0000, 0.0000)  4 Gd 2.43
O (0.7423, 0.8598, 0.3598)  1 Pt 2.00, 1 Gd 2.24
Gd (0.5000, 0.3257, 0.8257)  4 O 2.24-2.43
Pt (0.0000, 0.5000, 0.0000)  4 O 2.00
O (0.2577, 0.6402, 0.8598)  1 Pt 2.00, 1 Gd 2.24
Pt (0.0000, 0.0000, 0.5000)  4 O 2.00
O (0.2577, 0.8598, 0.3598)  1 Pt 2.00, 1 Gd 2.24
Gd (0.5000, 0.6743, 0.1743)  4 O 2.24-2.43
Ba (0.0000, 0.0000, 0.0000)  10 O 2.93-2.96
Ba (0.0000, 0.5000, 0.5000)  10 O 2.93-2.96
O (0.7423, 0.6402, 0.8598)  1 Pt 2.00, 1 Gd 2.24
Gd (0.5000, 0.1743, 0.3257)  4 O 2.24-2.43
Gd (0.5000, 0.8257, 0.6743)  4 O 2.24-2.43

Values from the calculation:
Size of the total moment ... 13.94 μB per formula unit
Energy relative to the elements, uncorrected ... -2.90 eV/atom



# 2
A plane-wave DFT calculation with SCAN was carried out for Ba2GdWO6 at its PBEsol-relaxed geometry.

abc: 5.9613 5.9613 5.9613
angles: 60.00 60.00 60.00
With the nearest neighbours (Å) after each atom.
Fractional coordinates of all 10 atoms:
O (0.2328, 0.7672, 0.2328)  1 W 1.96
Ba (0.2500, 0.2500, 0.2500)  12 O 2.98
Ba (0.7500, 0.7500, 0.7500)  12 O 2.98
O (0.7672, 0.7672, 0.2328)  1 W 1.96
Gd (0.5000, 0.5000, 0.5000)  6 O 2.25
O (0.2328, 0.2328, 0.7672)  1 W 1.96
W (0.0000, 0.0000, 0.0000)  6 O 1.96
O (0.7672, 0.2328, 0.2328)  1 W 1.96
O (0.2328, 0.7672, 0.7672)  1 W 1.96
O (0.7672, 0.2328, 0.7672)  1 W 1.96

Values from the calculation:
Size of the total moment ... 7.95 μB per formula unit
Energy relative to the elements, uncorrected ... -3.04 eV/atom



# 3
A plane-wave DFT calculation with SCAN was carried out for BaGe at its PBEsol-relaxed geometry.

abc: 4.2425 5.0016 6.5044
angles: 112.61 90.00 90.00
With the nearest neighbours (Å) after each atom.
Fractional coordinates of all 4 atoms:
Ge (0.2500, 0.5639, 0.1279)  2 Ge 2.62
Ba (0.2500, 0.8607, 0.7215)  7 Ge 3.40-3.56
Ge (0.7500, 0.4361, 0.8721)  2 Ge 2.62
Ba (0.7500, 0.1393, 0.2785)  7 Ge 3.40-3.56

Values from the calculation:
Calculated formation energy ... -0.662 eV/atom
Size of the total moment ... 0.00 μB per formula unit



# 4
A plane-wave DFT calculation with SCAN was carried out for BaGe3 at its PBEsol-relaxed geometry.

abc: 4.9480 6.7960 6.7960
angles: 120.00 90.00 90.00
With the nearest neighbours (Å) after each atom.
Fractional coordinates of all 8 atoms:
Ge (0.7500, 0.1288, 0.2577)  6 Ge 2.63-2.90
Ge (0.2500, 0.8712, 0.7423)  6 Ge 2.63-2.90
Ge (0.2500, 0.2577, 0.1288)  6 Ge 2.63-2.90
Ge (0.7500, 0.7423, 0.8712)  6 Ge 2.63-2.90
Ba (0.7500, 0.6667, 0.3333)  12 Ge 3.43-3.45
Ge (0.2500, 0.8712, 0.1288)  6 Ge 2.63-2.90
Ge (0.7500, 0.1288, 0.8712)  6 Ge 2.63-2.90
Ba (0.2500, 0.3333, 0.6667)  12 Ge 3.43-3.45

Values from the calculation:
Calculated formation energy ... -0.400 eV/atom
Size of the total moment ... 0.00 μB per formula unit



# 5
A plane-wave DFT calculation with SCAN was carried out for BaGe6 at its PBEsol-relaxed geometry.

abc: 4.7628 5.8702 12.3300
angles: 90.00 90.00 113.93
With the nearest neighbours (Å) after each atom.
Fractional coordinates of all 14 atoms:
Ge (0.5544, 0.1088, 0.3537)  4 Ge 2.51-2.58
Ge (0.7518, 0.5035, 0.0368)  4 Ge 2.51-2.55
Ge (0.7518, 0.5035, 0.4632)  4 Ge 2.51-2.55
Ge (0.4456, 0.8912, 0.8537)  4 Ge 2.51-2.58
Ge (0.4456, 0.8912, 0.6463)  4 Ge 2.51-2.58
Ba (0.7306, 0.4612, 0.7500)  14 Ge 3.31-3.64
Ge (0.9770, 0.9540, 0.3989)  4 Ge 2.54-2.58
Ge (0.2482, 0.4965, 0.9632)  4 Ge 2.51-2.55
Ge (0.5544, 0.1088, 0.1463)  4 Ge 2.51-2.58
Ge (0.0230, 0.0460, 0.6011)  4 Ge 2.54-2.58
Ba (0.2694, 0.5388, 0.2500)  14 Ge 3.31-3.64
Ge (0.2482, 0.4965, 0.5368)  4 Ge 2.51-2.55
Ge (0.0230, 0.0460, 0.8989)  4 Ge 2.54-2.58
Ge (0.9770, 0.9540, 0.1011)  4 Ge 2.54-2.58

Values from the calculation:
Calculated formation energy ... -0.175 eV/atom
Size of the total moment ... 0.00 μB per formula unit



# 6
A plane-wave DFT calculation with SCAN was carried out for Ba2Ge at its PBEsol-relaxed geometry.

abc: 5.3292 8.3555 10.0754
angles: 90.00 90.00 90.00
With the nearest neighbours (Å) after each atom.
Fractional coordinates of all 12 atoms:
Ge (0.7500, 0.2514, 0.6036)  7 Ba 3.28-3.56
Ge (0.2500, 0.7486, 0.3964)  7 Ba 3.28-3.56
Ba (0.7500, 0.3538, 0.9174)  4 Ge 3.28-3.37
Ba (0.2500, 0.6462, 0.0826)  4 Ge 3.28-3.37
Ge (0.7500, 0.7514, 0.8964)  7 Ba 3.28-3.56
Ba (0.7500, 0.9778, 0.1726)  3 Ge 3.36-3.56
Ba (0.2500, 0.1462, 0.4174)  4 Ge 3.28-3.37
Ba (0.2500, 0.5222, 0.6726)  3 Ge 3.36-3.56
Ba (0.2500, 0.0222, 0.8274)  3 Ge 3.36-3.56
Ba (0.7500, 0.8538, 0.5826)  4 Ge 3.28-3.37
Ge (0.2500, 0.2486, 0.1036)  7 Ba 3.28-3.56
Ba (0.7500, 0.4778, 0.3274)  3 Ge 3.36-3.56

Values from the calculation:
Calculated formation energy ... -0.561 eV/atom
Size of the total moment ... 0.00 μB per formula unit



# 7
A plane-wave DFT calculation with SCAN was carried out for BaGe2 at its PBEsol-relaxed geometry.

abc: 6.7511 9.0022 11.4801
angles: 90.00 90.00 90.00
With the nearest neighbours (Å) after each atom.
Fractional coordinates of all 24 atoms:
Ge (0.4383, 0.1897, 0.1506)  3 Ge 2.54-2.56
Ba (0.7500, 0.1574, 0.9074)  11 Ge 3.44-3.75
Ba (0.7500, 0.9839, 0.3099)  9 Ge 3.35-3.59
Ge (0.2500, 0.1929, 0.9586)  3 Ge 2.54-2.61
Ba (0.7500, 0.6574, 0.5926)  11 Ge 3.44-3.75
Ba (0.2500, 0.3426, 0.4074)  11 Ge 3.44-3.75
Ge (0.7500, 0.0744, 0.5944)  3 Ge 2.56-2.61
Ge (0.5617, 0.8103, 0.8494)  3 Ge 2.54-2.56
Ge (0.2500, 0.4256, 0.0944)  3 Ge 2.56-2.61
Ge (0.7500, 0.5744, 0.9056)  3 Ge 2.56-2.61
Ge (0.5617, 0.3103, 0.6506)  3 Ge 2.54-2.56
Ge (0.7500, 0.8071, 0.0414)  3 Ge 2.54-2.61
Ge (0.2500, 0.6929, 0.5414)  3 Ge 2.54-2.61
Ge (0.4383, 0.6897, 0.3494)  3 Ge 2.54-2.56
Ge (0.9383, 0.8103, 0.8494)  3 Ge 2.54-2.56
Ge (0.2500, 0.9256, 0.4056)  3 Ge 2.56-2.61
Ba (0.7500, 0.4839, 0.1901)  9 Ge 3.35-3.59
Ge (0.9383, 0.3103, 0.6506)  3 Ge 2.54-2.56
Ba (0.2500, 0.8426, 0.0926)  11 Ge 3.44-3.75
Ge (0.7500, 0.3071, 0.4586)  3 Ge 2.54-2.61
Ge (0.0617, 0.1897, 0.1506)  3 Ge 2.54-2.56
Ba (0.2500, 0.0161, 0.6901)  9 Ge 3.35-3.59
Ba (0.2500, 0.5161, 0.8099)  9 Ge 3.35-3.59
Ge (0.0617, 0.6897, 0.3494)  3 Ge 2.54-2.56

Values from the calculation:
Calculated formation energy ... -0.582 eV/atom
Size of the total moment ... 0.00 μB per formula unit



# 8
A plane-wave DFT calculation with SCAN was carried out for BaGe2 at its PBEsol-relaxed geometry.

abc: 4.7301 4.7301 8.0337
angles: 107.12 107.12 90.00
With the nearest neighbours (Å) after each atom.
Fractional coordinates of all 6 atoms:
Ba (0.7500, 0.2500, 0.5000)  12 Ge 3.39-3.56
Ge (0.9161, 0.9161, 0.8322)  3 Ge 2.45-2.65
Ge (0.0839, 0.0839, 0.1678)  3 Ge 2.45-2.65
Ge (0.1661, 0.6661, 0.3322)  3 Ge 2.45-2.65
Ba (0.5000, 0.5000, 0.0000)  12 Ge 3.39-3.56
Ge (0.3339, 0.8339, 0.6678)  3 Ge 2.45-2.65

Values from the calculation:
Calculated formation energy ... -0.556 eV/atom
Size of the total moment ... 0.00 μB per formula unit



# 9
A plane-wave DFT calculation with SCAN was carried out for Ba3Ge4 at its PBEsol-relaxed geometry.

abc: 8.3314 8.3314 12.1004
angles: 90.00 90.00 90.00
With the nearest neighbours (Å) after each atom.
Fractional coordinates of all 28 atoms:
Ba (0.3398, 0.3398, 0.5000)  8 Ge 3.38-3.54, 1 Ba 3.77
Ge (0.7957, 0.7957, 0.8590)  2 Ge 2.59
Ba (0.1602, 0.8398, 0.0000)  8 Ge 3.38-3.54, 1 Ba 3.77
Ba (0.0000, 0.5000, 0.7500)  8 Ge 3.27-3.36
Ge (0.5653, 0.8359, 0.0000)  2 Ge 2.59
Ba (0.8398, 0.1602, 0.0000)  8 Ge 3.38-3.54, 1 Ba 3.77
Ba (0.5000, 0.5000, 0.1646)  8 Ge 3.37-3.50
Ba (0.5000, 0.0000, 0.7500)  8 Ge 3.27-3.36
Ge (0.3359, 0.9347, 0.5000)  2 Ge 2.59
Ba (0.5000, 0.5000, 0.8354)  8 Ge 3.37-3.50
Ge (0.2043, 0.2043, 0.1410)  2 Ge 2.59
Ge (0.1641, 0.4347, 0.0000)  2 Ge 2.59
Ge (0.9347, 0.3359, 0.5000)  2 Ge 2.59
Ge (0.8359, 0.5653, 0.0000)  2 Ge 2.59
Ba (0.0000, 0.5000, 0.2500)  8 Ge 3.27-3.36
Ge (0.4347, 0.1641, 0.0000)  2 Ge 2.59
Ba (0.6602, 0.6602, 0.5000)  8 Ge 3.38-3.54, 1 Ba 3.77
Ge (0.7957, 0.7957, 0.1410)  2 Ge 2.59
Ge (0.0653, 0.6641, 0.5000)  2 Ge 2.59
Ba (0.5000, 0.0000, 0.2500)  8 Ge 3.27-3.36
Ge (0.7043, 0.2957, 0.3590)  2 Ge 2.59
Ba (0.0000, 0.0000, 0.6646)  8 Ge 3.37-3.50
Ba (0.0000, 0.0000, 0.3354)  8 Ge 3.37-3.50
Ge (0.2957, 0.7043, 0.6410)  2 Ge 2.59
Ge (0.7043, 0.2957, 0.6410)  2 Ge 2.59
Ge (0.2957, 0.7043, 0.3590)  2 Ge 2.59
Ge (0.2043, 0.2043, 0.8590)  2 Ge 2.59
Ge (0.6641, 0.0653, 0.5000)  2 Ge 2.59

Values from the calculation:
Calculated formation energy ... -0.626 eV/atom
Size of the total moment ... 0.00 μB per formula unit



Question: size of the total moment of number 7 (BaGe2)?
Answer: 0.00 μB per formula unit